4
Lattice="-0.182 -2.087 1.899 -1.727 -2.190 -0.467 6.808 -6.304 -4.171" Properties=species:S:1:pos:R:3 comment="PBE-GGA NpNb2Ni, optimized geometry" delta_e_f_mev_per_atom=284 dos_ef_per_ev_fu=5.7 space_group="No. 166" rho_g_cm3=11.5 energy_ev_per_atom=-9.432 pbc="T T T"
Nb 1.474 -2.808 -0.840
Np 0.000 0.000 0.000
Nb 3.425 -7.773 -1.900
Ni 2.449 -5.291 -1.370



16
Lattice="7.623 0.000 -3.598 -1.699 7.431 -3.598 0.190 0.238 10.275" Properties=species:S:1:pos:R:3 comment="PBE-GGA Sr5CdGa2, optimized geometry" delta_e_f_mev_per_atom=-306 dos_ef_per_ev_fu=8.5 space_group="No. 140" rho_g_cm3=3.9 energy_ev_per_atom=-2.229 pbc="T T T"
Ga 1.477 6.633 -4.625
Sr 4.617 7.256 -3.516
Ga 4.447 0.798 -2.572
Cd 1.576 1.977 3.338
Ga 0.152 2.918 -1.799
Sr 0.000 0.000 0.000
Sr 1.066 6.118 -1.166
Ga 5.772 4.513 -5.397
Sr 3.083 2.403 0.082
Sr -0.521 4.128 5.346
Sr 6.634 3.541 -2.268
Cd 4.538 5.692 -0.260
Sr 1.496 0.412 6.594
Sr 5.047 1.550 4.244
Sr 2.962 3.715 -3.598
Sr 3.031 5.266 2.996



4
Lattice="-2.795 -4.060 1.727 1.762 -2.876 3.987 -2.370 0.249 4.647" Properties=species:S:1:pos:R:3 comment="PBE-GGA SmPuTlPt, optimized geometry" delta_e_f_mev_per_atom=-417 dos_ef_per_ev_fu=10.9 space_group="No. 216" rho_g_cm3=13.1 energy_ev_per_atom=-7.281 pbc="T T T"
Tl -2.552 -5.015 7.771
Pt -0.851 -1.672 2.590
Sm 0.000 0.000 0.000
Pu -1.701 -3.343 5.181